Entry 1:
{"formula": "TmAlCuHg", "functional": "PBE-GGA", "state": "optimized geometry", "e_tot_ev_per_atom": -3.413, "cell": [[0.0000, 3.3657, 3.3657], [3.3657, 0.0000, 3.3657], [3.3657, 3.3657, 0.0000]], "species": ["Tm", "Al", "Cu", "Hg"], "frac_coords": [[0.0000, 0.0000, 0.0000], [0.5000, 0.5000, 0.5000], [0.2500, 0.2500, 0.2500], [0.7500, 0.7500, 0.7500]]}



Entry 2:
{"formula": "YAlCuHg", "functional": "PBE-GGA", "state": "optimized geometry", "e_tot_ev_per_atom": -3.919, "cell": [[0.0000, 3.4026, 3.4026], [3.4026, 0.0000, 3.4026], [3.4026, 3.4026, 0.0000]], "species": ["Y", "Al", "Cu", "Hg"], "frac_coords": [[0.0000, 0.0000, 0.0000], [0.5000, 0.5000, 0.5000], [0.7500, 0.7500, 0.7500], [0.2500, 0.2500, 0.2500]]}



Entry 3:
{"formula": "Y2AlCuHg", "functional": "PBE-GGA", "state": "optimized geometry", "e_tot_ev_per_atom": -3.775, "cell": [[5.5969, 0.0000, 0.0000], [0.0000, 5.5969, 0.0000], [0.0000, 0.0000, 4.7635]], "species": ["Y", "Y", "Al", "Cu", "Hg"], "frac_coords": [[0.0000, 0.5000, 0.0000], [0.5000, 0.0000, 0.0000], [0.0000, 0.0000, 0.5000], [0.5000, 0.5000, 0.5000], [0.5000, 0.5000, 0.0000]]}



Entry 4:
{"formula": "YAl2CuHg", "functional": "PBE-GGA", "state": "optimized geometry", "e_tot_ev_per_atom": -3.273, "cell": [[4.9892, 0.0000, 0.0000], [0.0000, 4.9892, 0.0000], [0.0000, 0.0000, 4.8197]], "species": ["Y", "Al", "Al", "Cu", "Hg"], "frac_coords": [[0.0000, 0.0000, 0.0000], [0.0000, 0.5000, 0.5000], [0.5000, 0.0000, 0.5000], [0.5000, 0.5000, 0.0000], [0.5000, 0.5000, 0.5000]]}



Entry 5:
{"formula": "Y2Al4Cu3Hg", "functional": "PBE-GGA", "state": "optimized geometry", "e_tot_ev_per_atom": -4.435, "cell": [[4.1963, 0.0000, 0.0000], [0.0000, 4.1963, 0.0000], [0.0000, 0.0000, 10.4285]], "species": ["Y", "Y", "Al", "Al", "Al", "Al", "Cu", "Cu", "Cu", "Hg"], "frac_coords": [[0.0000, 0.5000, 0.2405], [0.5000, 0.0000, 0.7595], [0.0000, 0.0000, 0.0000], [0.0000, 0.5000, 0.6491], [0.5000, 0.0000, 0.3509], [0.5000, 0.5000, 0.0000], [0.0000, 0.5000, 0.8751], [0.5000, 0.0000, 0.1249], [0.5000, 0.5000, 0.5000], [0.0000, 0.0000, 0.5000]]}



Entry 6:
{"formula": "Ho5AlCu4", "functional": "PBE-GGA", "state": "optimized geometry", "e_tot_ev_per_atom": -4.591, "cell": [[3.4505, 0.0000, 0.0000], [0.0000, 3.4505, 0.0000], [0.0000, 0.0000, 17.6762]], "species": ["Ho", "Ho", "Ho", "Ho", "Ho", "Al", "Cu", "Cu", "Cu", "Cu"], "frac_coords": [[0.0000, 0.0000, 0.0000], [0.0000, 0.0000, 0.1961], [0.0000, 0.0000, 0.3919], [0.0000, 0.0000, 0.6081], [0.0000, 0.0000, 0.8039], [0.5000, 0.5000, 0.5000], [0.5000, 0.5000, 0.0970], [0.5000, 0.5000, 0.2957], [0.5000, 0.5000, 0.7043], [0.5000, 0.5000, 0.9030]]}



Entry 7:
{"formula": "Ho2AlCu3", "functional": "PBE-GGA", "state": "optimized geometry", "e_tot_ev_per_atom": -4.472, "relative_energy_mev_per_atom": 21, "cell": [[-1.8730, 2.0185, 7.6993], [1.8730, -2.0185, 7.6993], [1.8730, 2.0185, -7.6993]], "species": ["Ho", "Ho", "Al", "Cu", "Cu", "Cu"], "frac_coords": [[0.0000, 0.0000, 0.0000], [0.7658, 0.2658, 0.5000], [0.5961, 0.5961, 0.0000], [0.1801, 0.6801, 0.5000], [0.3383, 0.8383, 0.5000], [0.4344, 0.4344, 0.0000]]}



Entry 8:
{"formula": "Ho2Al3Cu2", "functional": "PBE-GGA", "state": "optimized geometry", "e_tot_ev_per_atom": -4.510, "cell": [[5.1209, -2.0803, 0.0000], [5.1209, 2.0803, 0.0000], [-2.9849, 0.0000, 6.1097]], "species": ["Ho", "Ho", "Al", "Al", "Al", "Cu", "Cu"], "frac_coords": [[0.1455, 0.1455, 0.2819], [0.8545, 0.8545, 0.7181], [0.3801, 0.3801, 0.0624], [0.5000, 0.5000, 0.5000], [0.6199, 0.6199, 0.9376], [0.1416, 0.1416, 0.7247], [0.8584, 0.8584, 0.2753]]}



Entry 9:
{"formula": "HoAlCu2", "functional": "PBE-GGA", "state": "optimized geometry", "e_tot_ev_per_atom": -4.454, "cell": [[7.4465, 0.0000, 0.0000], [0.0000, 6.6082, 0.0000], [0.0000, 0.0000, 5.6602]], "species": ["Ho", "Ho", "Ho", "Ho", "Al", "Al", "Al", "Al", "Cu", "Cu", "Cu", "Cu", "Cu", "Cu", "Cu", "Cu"], "frac_coords": [[0.0408, 0.2500, 0.1580], [0.4592, 0.7500, 0.6580], [0.5408, 0.2500, 0.3420], [0.9592, 0.7500, 0.8420], [0.1173, 0.7500, 0.3412], [0.3827, 0.2500, 0.8412], [0.6173, 0.7500, 0.1588], [0.8827, 0.2500, 0.6588], [0.1754, 0.0557, 0.5871], [0.1754, 0.4443, 0.5871], [0.3246, 0.5557, 0.0871], [0.3246, 0.9443, 0.0871], [0.6754, 0.0557, 0.9129], [0.6754, 0.4443, 0.9129], [0.8246, 0.5557, 0.4129], [0.8246, 0.9443, 0.4129]]}



Entry 10:
{"formula": "Ho2AlCu3", "functional": "PBE-GGA", "state": "optimized geometry", "e_tot_ev_per_atom": -4.493, "relative_energy_mev_per_atom": 0, "cell": [[0.0000, 4.3276, 7.5645], [3.4641, 0.0000, 7.5645], [3.4641, 4.3276, 0.0000]], "species": ["Ho", "Ho", "Ho", "Ho", "Al", "Al", "Cu", "Cu", "Cu", "Cu", "Cu", "Cu"], "frac_coords": [[0.2421, 0.7579, 0.7579], [0.2500, 0.2500, 0.2500], [0.7500, 0.7500, 0.7500], [0.7579, 0.2421, 0.2421], [0.3340, 0.3340, 0.6660], [0.6660, 0.6660, 0.3340], [0.1676, 0.1676, 0.8324], [0.1690, 0.6648, 0.3352], [0.3352, 0.8310, 0.1690], [0.6648, 0.1690, 0.8310], [0.8310, 0.3352, 0.6648], [0.8324, 0.8324, 0.1676]]}



Entry 11:
{"formula": "Ho3AlCu4", "functional": "PBE-GGA", "state": "optimized geometry", "e_tot_ev_per_atom": -4.359, "cell": [[-1.8774, 3.2204, 6.8740], [1.8774, -3.2204, 6.8740], [1.8774, 3.2204, -6.8740]], "species": ["Ho", "Ho", "Ho", "Al", "Cu", "Cu", "Cu", "Cu"], "frac_coords": [[0.0000, 0.0000, 0.0000], [0.3094, 0.8094, 0.5000], [0.6906, 0.1906, 0.5000], [0.5000, 0.5000, 0.0000], [0.0714, 0.3762, 0.6952], [0.3190, 0.6238, 0.6952], [0.6810, 0.3762, 0.3048], [0.9286, 0.6238, 0.3048]]}



Entry 12:
{"formula": "HoAlCu2", "functional": "PBE-GGA", "state": "optimized geometry", "e_tot_ev_per_atom": -4.304, "cell": [[3.1132, 0.0000, 0.0000], [0.0000, 3.1132, 0.0000], [0.0000, 0.0000, 6.8767]], "species": ["Ho", "Al", "Cu", "Cu"], "frac_coords": [[0.0000, 0.0000, 0.0000], [0.0000, 0.0000, 0.5000], [0.5000, 0.5000, 0.2944], [0.5000, 0.5000, 0.7056]]}



Entry 13:
{"formula": "Ho8Al2Cu", "functional": "PBE-GGA", "state": "optimized geometry", "e_tot_ev_per_atom": -4.541, "cell": [[9.0893, -2.5083, 0.0000], [9.0893, 2.5083, 0.0000], [-1.4759, 0.0000, 6.4231]], "species": ["Ho", "Ho", "Ho", "Ho", "Ho", "Ho", "Ho", "Ho", "Al", "Al", "Cu"], "frac_coords": [[0.0203, 0.0203, 0.2745], [0.2078, 0.2078, 0.8003], [0.3482, 0.3482, 0.5294], [0.4064, 0.4064, 0.0407], [0.5936, 0.5936, 0.9593], [0.6518, 0.6518, 0.4706], [0.7922, 0.7922, 0.1997], [0.9797, 0.9797, 0.7255], [0.1885, 0.1885, 0.2490], [0.8115, 0.8115, 0.7510], [0.5000, 0.5000, 0.5000]]}



Entry 14:
{"formula": "HoAlCu3", "functional": "PBE-GGA", "state": "optimized geometry", "e_tot_ev_per_atom": -4.021, "relative_energy_mev_per_atom": 307, "cell": [[5.5792, 0.0000, 0.0000], [0.0000, 7.3540, 0.0000], [0.0000, 0.0000, 4.5208]], "species": ["Ho", "Ho", "Al", "Al", "Cu", "Cu", "Cu", "Cu", "Cu", "Cu"], "frac_coords": [[0.0000, 0.0000, 0.0000], [0.5000, 0.5000, 0.0000], [0.0000, 0.5000, 0.5000], [0.5000, 0.0000, 0.5000], [0.0000, 0.5000, 0.0000], [0.2454, 0.2474, 0.5000], [0.2546, 0.7474, 0.5000], [0.5000, 0.0000, 0.0000], [0.7454, 0.2526, 0.5000], [0.7546, 0.7526, 0.5000]]}



Entry 15:
{"formula": "Ho2Al5Cu3", "functional": "PBE-GGA", "state": "optimized geometry", "e_tot_ev_per_atom": -4.443, "relative_energy_mev_per_atom": 0, "cell": [[5.9435, -5.8328, 0.0000], [5.9435, 5.8328, 0.0000], [-2.8504, 0.0000, 5.0938]], "species": ["Ho", "Ho", "Ho", "Ho", "Al", "Al", "Al", "Al", "Al", "Al", "Al", "Al", "Al", "Al", "Cu", "Cu", "Cu", "Cu", "Cu", "Cu"], "frac_coords": [[0.1090, 0.3733, 0.2412], [0.3733, 0.1090, 0.7412], [0.6267, 0.8910, 0.2588], [0.8910, 0.6267, 0.7588], [0.9999, 0.0001, 0.2500], [0.0001, 0.9999, 0.7500], [0.2445, 0.4601, 0.8522], [0.2560, 0.7440, 0.7500], [0.2566, 0.7434, 0.2500], [0.4601, 0.2445, 0.3522], [0.5399, 0.7555, 0.6478], [0.7434, 0.2566, 0.7500], [0.7440, 0.2560, 0.2500], [0.7555, 0.5399, 0.1478], [0.0032, 0.7454, 0.3746], [0.2546, 0.9968, 0.1254], [0.4993, 0.5007, 0.2500], [0.5007, 0.4993, 0.7500], [0.7454, 0.0032, 0.8746], [0.9968, 0.2546, 0.6254]]}



Entry 16:
{"formula": "Ho2Al9Cu6", "functional": "PBE-GGA", "state": "optimized geometry", "e_tot_ev_per_atom": -4.198, "cell": [[5.3074, 0.0000, 0.0000], [-2.6537, 4.5964, 0.0000], [0.0000, 0.0000, 12.2434]], "species": ["Ho", "Ho", "Al", "Al", "Al", "Al", "Al", "Al", "Al", "Al", "Al", "Cu", "Cu", "Cu", "Cu", "Cu", "Cu"], "frac_coords": [[0.0000, 0.0000, 0.1652], [0.0000, 0.0000, 0.8348], [0.0000, 0.5000, 0.0000], [0.0000, 0.5000, 0.3362], [0.0000, 0.5000, 0.6638], [0.5000, 0.0000, 0.0000], [0.5000, 0.0000, 0.3362], [0.5000, 0.0000, 0.6638], [0.5000, 0.5000, 0.0000], [0.5000, 0.5000, 0.3362], [0.5000, 0.5000, 0.6638], [0.3333, 0.6667, 0.1675], [0.3333, 0.6667, 0.5000], [0.3333, 0.6667, 0.8325], [0.6667, 0.3333, 0.1675], [0.6667, 0.3333, 0.5000], [0.6667, 0.3333, 0.8325]]}



Entry 17:
{"formula": "HoAl2Cu9", "functional": "PBE-GGA", "state": "optimized geometry", "e_tot_ev_per_atom": -4.269, "relative_energy_mev_per_atom": 0, "cell": [[-5.0481, 5.0481, 3.2909], [5.0481, -5.0481, 3.2909], [5.0481, 5.0481, -3.2909]], "species": ["Ho", "Ho", "Al", "Al", "Al", "Al", "Cu", "Cu", "Cu", "Cu", "Cu", "Cu", "Cu", "Cu", "Cu", "Cu", "Cu", "Cu", "Cu", "Cu", "Cu", "Cu", "Cu", "Cu"], "frac_coords": [[0.3750, 0.6250, 0.7500], [0.6250, 0.3750, 0.2500], [0.0000, 0.0000, 0.0000], [0.0000, 0.0000, 0.5000], [0.0000, 0.5000, 0.0000], [0.5000, 0.0000, 0.5000], [0.1250, 0.8750, 0.2500], [0.1369, 0.5577, 0.3352], [0.1369, 0.8017, 0.5793], [0.1983, 0.2775, 0.3352], [0.1983, 0.8631, 0.9207], [0.2775, 0.1983, 0.8352], [0.2775, 0.4423, 0.0793], [0.4423, 0.2775, 0.5793], [0.4423, 0.8631, 0.1648], [0.5577, 0.1369, 0.8352], [0.5577, 0.7225, 0.4207], [0.7225, 0.5577, 0.9207], [0.7225, 0.8017, 0.1648], [0.8017, 0.1369, 0.0793], [0.8017, 0.7225, 0.6648], [0.8631, 0.1983, 0.4207], [0.8631, 0.4423, 0.6648], [0.8750, 0.1250, 0.7500]]}



Entry 18:
{"formula": "HoAl6Cu12", "functional": "PBE-GGA", "state": "optimized geometry", "e_tot_ev_per_atom": -4.095, "cell": [[5.3872, 3.1103, 2.8030], [-5.3872, 3.1103, 2.8030], [0.0000, -6.2205, 2.8030]], "species": ["Ho", "Al", "Al", "Al", "Al", "Al", "Al", "Cu", "Cu", "Cu", "Cu", "Cu", "Cu", "Cu", "Cu", "Cu", "Cu", "Cu", "Cu"], "frac_coords": [[0.0000, 0.0000, 0.0000], [0.2865, 0.2865, 0.7009], [0.2865, 0.7009, 0.2865], [0.2991, 0.7135, 0.7135], [0.7009, 0.2865, 0.2865], [0.7135, 0.2991, 0.7135], [0.7135, 0.7135, 0.2991], [0.1116, 0.5000, 0.8884], [0.1116, 0.8884, 0.5000], [0.1207, 0.3718, 0.3718], [0.3718, 0.1207, 0.3718], [0.3718, 0.3718, 0.1207], [0.5000, 0.1116, 0.8884], [0.5000, 0.8884, 0.1116], [0.6282, 0.6282, 0.8793], [0.6282, 0.8793, 0.6282], [0.8793, 0.6282, 0.6282], [0.8884, 0.1116, 0.5000], [0.8884, 0.5000, 0.1116]]}



Entry 19:
{"formula": "HoAl7Cu5", "functional": "PBE-GGA", "state": "optimized geometry", "e_tot_ev_per_atom": -4.288, "cell": [[-2.5498, 4.3924, 4.3339], [2.5498, -4.3924, 4.3339], [2.5498, 4.3924, -4.3339]], "species": ["Ho", "Al", "Al", "Al", "Al", "Al", "Al", "Al", "Cu", "Cu", "Cu", "Cu", "Cu"], "frac_coords": [[0.0000, 0.0000, 0.0000], [0.1974, 0.4909, 0.7065], [0.2245, 0.7245, 0.5000], [0.3498, 0.3498, 0.0000], [0.3533, 0.0059, 0.3474], [0.6550, 0.6550, 0.0000], [0.6585, 0.0059, 0.6526], [0.7843, 0.4909, 0.2935], [0.9996, 0.4975, 0.0048], [0.9996, 0.9948, 0.5021], [0.4927, 0.4975, 0.4979], [0.4927, 0.9948, 0.9952], [0.7719, 0.2719, 0.5000]]}



Entry 20:
{"formula": "Ho2AlCu2", "functional": "PBE-GGA", "state": "optimized geometry", "e_tot_ev_per_atom": -4.543, "cell": [[5.3528, -2.0952, 0.0000], [5.3528, 2.0952, 0.0000], [-4.8594, 0.0000, 9.0362]], "species": ["Ho", "Ho", "Ho", "Ho", "Al", "Al", "Cu", "Cu", "Cu", "Cu"], "frac_coords": [[0.0021, 0.0021, 0.1714], [0.1900, 0.1900, 0.6090], [0.8099, 0.8099, 0.3910], [0.9979, 0.9979, 0.8286], [0.2746, 0.2746, 0.1313], [0.7254, 0.7254, 0.8687], [0.3649, 0.3649, 0.9367], [0.4881, 0.4881, 0.6175], [0.5119, 0.5119, 0.3825], [0.6351, 0.6351, 0.0633]]}